Below is a relaxed AcLaYSc crystal, with properties calculated at the GGA-PBE level. Values from VASP.

```
&SYSTEM
  ibrav = 0, nat = 4, ntyp = 4
/
ATOMIC_SPECIES
Ac 227.00 Ac.upf
Y 88.91 Y.upf
La 138.91 La.upf
Sc 44.96 Sc.upf
CELL_PARAMETERS angstrom
5.795 0.000 0.000
2.897 5.018 0.000
2.897 1.673 4.731
ATOMIC_POSITIONS crystal
Ac 0.500 0.500 0.500
Y 0.250 0.250 0.250
La 0.000 0.000 0.000
Sc 0.750 0.750 0.750
```

Formation enthalpy at 0 K = 96 meV per atom
Raw total energy = -21.45 eV per formula unit
Magnetization = 0.0 μB/f.u.



Below is a relaxed H3PdSe crystal, with properties calculated at the GGA-PBE level. Values from VASP.

```
&SYSTEM
  ibrav = 0, nat = 5, ntyp = 3
/
ATOMIC_SPECIES
Pd 106.42 Pd.upf
Se 78.96 Se.upf
H 1.01 H.upf
CELL_PARAMETERS angstrom
-0.577 3.607 -0.209
-3.584 -0.545 0.489
0.451 0.282 3.620
ATOMIC_POSITIONS crystal
Pd 0.000 0.000 0.000
Se 0.500 0.500 0.500
H 0.000 0.500 0.000
H 0.000 0.000 0.500
H 0.500 0.000 0.000
```

Offset from the most stable computed form = 0.000 eV/atom
Raw total energy = -15.75 eV per formula unit
Magnetization = 0.0 μB/f.u.



Below is a relaxed AlFe2Mo crystal, with properties calculated at the GGA-PBE level. Values from VASP.

```
&SYSTEM
  ibrav = 0, nat = 4, ntyp = 3
/
ATOMIC_SPECIES
Fe 55.84 Fe.upf
Al 26.98 Al.upf
Mo 95.94 Mo.upf
CELL_PARAMETERS angstrom
-2.198 0.517 1.311
-0.766 -0.696 -2.397
-0.402 -7.693 2.361
ATOMIC_POSITIONS crystal
Fe 0.000 0.000 0.509
Fe 0.000 0.000 0.991
Al 0.500 0.500 0.750
Mo 0.500 0.500 0.250
```

Formation enthalpy at 0 K = -46 meV per atom
Raw total energy = -31.68 eV per formula unit
Magnetization = 3.9 μB/f.u.



Below is a relaxed Zr3Ga3Co2 crystal, with properties calculated at the GGA-PBE level. Values from VASP.

```
&SYSTEM
  ibrav = 0, nat = 16, ntyp = 3
/
ATOMIC_SPECIES
Co 58.93 Co.upf
Ga 69.72 Ga.upf
Zr 91.22 Zr.upf
CELL_PARAMETERS angstrom
4.079 0.000 0.000
-2.040 4.928 0.000
0.000 0.000 13.421
ATOMIC_POSITIONS crystal
Co 0.799 0.597 0.889
Co 0.201 0.403 0.111
Co 0.201 0.403 0.389
Co 0.799 0.597 0.611
Ga 0.361 0.722 0.250
Ga 0.368 0.735 0.534
Ga 0.632 0.265 0.466
Ga 0.639 0.278 0.750
Ga 0.632 0.265 0.034
Ga 0.368 0.735 0.966
Zr 0.345 0.691 0.750
Zr 0.655 0.309 0.250
Zr 0.930 0.860 0.387
Zr 0.930 0.860 0.113
Zr 0.070 0.140 0.887
Zr 0.070 0.140 0.613
```

Formation enthalpy at 0 K = -514 meV per atom
Offset from the most stable computed form = 0.000 eV/atom
Raw total energy = -53.05 eV per formula unit
Magnetization = 0.0 μB/f.u.



Below is a relaxed RbZr2P2N6 crystal, with properties calculated at the GGA-PBE level. Values from VASP.

```
&SYSTEM
  ibrav = 0, nat = 11, ntyp = 4
/
ATOMIC_SPECIES
N 14.01 N.upf
Rb 85.47 Rb.upf
Zr 91.22 Zr.upf
P 30.97 P.upf
CELL_PARAMETERS angstrom
-2.303 0.608 5.479
-6.107 -0.853 0.785
3.962 -4.319 2.143
ATOMIC_POSITIONS crystal
N 0.028 0.373 0.134
N 0.972 0.627 0.866
N 0.932 0.137 0.388
N 0.068 0.863 0.612
N 0.599 0.373 0.134
N 0.401 0.627 0.866
Rb 0.500 0.000 0.500
Zr 0.186 0.628 0.192
Zr 0.814 0.372 0.808
P 0.881 0.238 0.192
P 0.119 0.762 0.808
```

Formation energy (no corrections) = -0.7422 eV per atom
Raw total energy = -87.00 eV per formula unit
Magnetization = 0.0 μB/f.u.



Below is a relaxed TlCrIr crystal, with properties calculated at the GGA-PBE level. Values from VASP.

```
&SYSTEM
  ibrav = 0, nat = 3, ntyp = 3
/
ATOMIC_SPECIES
Tl 204.38 Tl.upf
Ir 192.22 Ir.upf
Cr 52.00 Cr.upf
CELL_PARAMETERS angstrom
4.455 0.000 0.000
-2.228 3.858 0.000
0.000 0.000 3.090
ATOMIC_POSITIONS crystal
Tl 0.333 0.667 0.667
Ir 0.667 0.333 0.166
Cr 0.000 0.000 0.167
```

Formation enthalpy at 0 K = 556 meV per atom
Offset from the most stable computed form = 0.196 eV/atom
Raw total energy = -19.18 eV per formula unit
Magnetization = 3.5 μB/f.u.



Below is a relaxed Sc4ZnGa2Co crystal, with properties calculated at the GGA-PBE level. Values from VASP.

```
&SYSTEM
  ibrav = 0, nat = 8, ntyp = 4
/
ATOMIC_SPECIES
Ga 69.72 Ga.upf
Zn 65.41 Zn.upf
Sc 44.96 Sc.upf
Co 58.93 Co.upf
CELL_PARAMETERS angstrom
4.674 0.000 0.000
2.337 4.048 0.000
2.337 1.349 7.598
ATOMIC_POSITIONS crystal
Ga 0.252 0.252 0.244
Ga 0.748 0.748 0.756
Zn 0.000 0.000 0.000
Sc 0.872 0.872 0.385
Sc 0.621 0.621 0.138
Sc 0.379 0.379 0.862
Sc 0.128 0.128 0.615
Co 0.500 0.500 0.500
```

Formation enthalpy at 0 K = -498 meV per atom
Raw total energy = -43.75 eV per formula unit
Magnetization = 0.5 μB/f.u.



Below is a relaxed TaAlTe crystal, with properties calculated at the GGA-PBE level. Values from VASP.

```
&SYSTEM
  ibrav = 0, nat = 3, ntyp = 3
/
ATOMIC_SPECIES
Te 127.60 Te.upf
Ta 180.95 Ta.upf
Al 26.98 Al.upf
CELL_PARAMETERS angstrom
-4.223 2.077 -1.429
0.216 -4.853 0.773
-0.736 0.409 2.769
ATOMIC_POSITIONS crystal
Te 0.333 0.667 0.500
Ta 0.667 0.333 0.501
Al 0.000 0.000 0.000
```

Formation energy (no corrections) = 0.2664 eV per atom
Offset from the most stable computed form = 0.297 eV/atom
Raw total energy = -17.94 eV per formula unit
Magnetization = 0.0 μB/f.u.



Below is a relaxed K2CeF8 crystal, with properties calculated at the GGA-PBE level. Values from VASP.

```
&SYSTEM
  ibrav = 0, nat = 11, ntyp = 3
/
ATOMIC_SPECIES
K 39.10 K.upf
F 19.00 F.upf
Ce 140.12 Ce.upf
CELL_PARAMETERS angstrom
1.132 -3.576 -2.382
4.409 -1.220 3.928
-6.808 -1.162 2.653
ATOMIC_POSITIONS crystal
K 0.810 0.311 0.621
K 0.189 0.689 0.379
F 0.900 0.900 0.800
F 0.629 0.892 0.258
F 0.001 0.324 0.000
F 0.371 0.633 0.742
F 0.629 0.367 0.258
F 0.001 0.676 0.000
F 0.371 0.108 0.742
F 0.100 0.100 0.200
Ce 0.499 0.000 0.000
```

Formation energy (no corrections) = -2.6681 eV per atom
Offset from the most stable computed form = 0.028 eV/atom
Raw total energy = -52.45 eV per formula unit
Magnetization = 2.0 μB/f.u.



Below is a relaxed CaY2MgP crystal, with properties calculated at the GGA-PBE level. Values from VASP.

```
&SYSTEM
  ibrav = 0, nat = 5, ntyp = 4
/
ATOMIC_SPECIES
P 30.97 P.upf
Mg 24.30 Mg.upf
Y 88.91 Y.upf
Ca 40.08 Ca.upf
CELL_PARAMETERS angstrom
5.363 0.000 0.000
0.000 5.363 0.000
0.000 0.000 5.468
ATOMIC_POSITIONS crystal
P 0.000 0.000 0.000
Mg 0.500 0.500 0.500
Y 0.500 0.000 0.000
Y 0.000 0.500 0.000
Ca 0.000 0.000 0.500
```

Formation enthalpy at 0 K = -474 meV per atom
Raw total energy = -24.31 eV per formula unit
Magnetization = 0.0 μB/f.u.



Below is a relaxed Sn3IF crystal, with properties calculated at the GGA-PBE level. Values from VASP.

```
&SYSTEM
  ibrav = 0, nat = 5, ntyp = 3
/
ATOMIC_SPECIES
Sn 118.71 Sn.upf
I 126.90 I.upf
F 19.00 F.upf
CELL_PARAMETERS angstrom
-4.575 -3.449 1.568
1.064 -3.529 -4.658
3.636 -3.307 3.336
ATOMIC_POSITIONS crystal
Sn 0.000 0.500 0.000
Sn 0.500 0.000 0.000
Sn 0.000 0.000 0.500
I 0.000 0.000 0.000
F 0.500 0.500 0.500
```

Formation energy (no corrections) = 0.5631 eV per atom
Offset from the most stable computed form = 0.725 eV/atom
Raw total energy = -12.61 eV per formula unit
Magnetization = 0.0 μB/f.u.



Below is a relaxed Mn2InCo crystal, with properties calculated at the GGA-PBE level. Values from VASP.

```
&SYSTEM
  ibrav = 0, nat = 4, ntyp = 3
/
ATOMIC_SPECIES
In 114.82 In.upf
Co 58.93 Co.upf
Mn 54.94 Mn.upf
CELL_PARAMETERS angstrom
-0.790 -4.138 -0.901
3.180 -2.898 0.223
0.023 -2.934 3.155
ATOMIC_POSITIONS crystal
In 0.250 0.250 0.250
Co 0.500 0.500 0.500
Mn 0.750 0.750 0.750
Mn 0.000 0.000 0.000
```

Formation enthalpy at 0 K = 143 meV per atom
Raw total energy = -27.61 eV per formula unit
Magnetization = 1.8 μB/f.u.



Which of these has the highest raw total energy? Sn3IF